PBEsol SrMg3SiN4, relaxed; space-group type = I4_1/a (88); formation energy from raw total energies = -1.113 eV per atom
1.0
-5.759 5.759 6.780
5.759 -5.759 6.780
5.759 5.759 -6.780
Sr Mg Si N
8 24 8 32
direct
0.088 0.340 0.274
0.160 0.933 0.748
0.314 0.588 0.248
0.433 0.186 0.774
0.567 0.814 0.226
0.686 0.412 0.752
0.840 0.067 0.252
0.912 0.660 0.726
0.034 0.411 0.569
0.035 0.466 0.878
0.089 0.158 0.622
0.150 0.040 0.070
0.177 0.068 0.387
0.181 0.790 0.113
0.290 0.677 0.609
0.342 0.465 0.931
0.420 0.350 0.390
0.432 0.319 0.109
0.460 0.030 0.110
0.470 0.080 0.430
0.530 0.920 0.570
0.540 0.970 0.890
0.568 0.681 0.891
0.580 0.650 0.610
0.658 0.535 0.069
0.710 0.323 0.391
0.819 0.210 0.887
0.823 0.932 0.613
0.850 0.960 0.930
0.911 0.842 0.378
0.965 0.534 0.122
0.966 0.589 0.431
0.122 0.230 0.964
0.233 0.842 0.464
0.270 0.733 0.891
0.342 0.378 0.609
0.658 0.622 0.391
0.730 0.267 0.109
0.767 0.158 0.536
0.878 0.770 0.036
0.013 0.960 0.140
0.043 0.364 0.009
0.124 0.646 0.371
0.136 0.645 0.679
0.145 0.966 0.509
0.146 0.275 0.522
0.225 0.246 0.871
0.233 0.889 0.994
0.254 0.624 0.978
0.261 0.267 0.157
0.320 0.873 0.360
0.373 0.513 0.553
0.389 0.896 0.657
0.396 0.239 0.506
0.460 0.820 0.947
0.466 0.457 0.821
0.534 0.543 0.179
0.540 0.180 0.053
0.604 0.761 0.494
0.611 0.104 0.343
0.627 0.487 0.447
0.680 0.127 0.640
0.739 0.733 0.843
0.746 0.376 0.022
0.767 0.111 0.006
0.775 0.754 0.129
0.854 0.725 0.478
0.855 0.034 0.491
0.864 0.355 0.321
0.876 0.354 0.629
0.957 0.636 0.991
0.987 0.040 0.860